Record 1
VASP calculation (PBE-GGA) on a geometry-optimized ZnAg2Br structure.

The structure in POSCAR format:
```
ZnAg2Br
1.0
1.6795 0.9697 8.6180
-1.6795 0.9697 8.6180
0.0000 -1.9393 8.6180
Zn Ag Br
1 2 1
Cartesian
0.0000 0.0000 0.0000
0.0000 0.0000 12.6816
0.0000 0.0000 19.1622
0.0000 0.0000 6.8244
```

Computed properties:
Its energy above the most stable polymorph in this dataset is 0.059 eV per atom. The calculation puts the density of states at the Fermi level at 1.14 states/eV/cell. The calculation puts the total energy at -8.6 eV/f.u. Its crystal system is trigonal. The calculation puts the formation energy from raw total energies at 0.018 eV/atom. Its space group is R3m, No. 160.


Record 2
VASP calculation (PBE-GGA) on a geometry-optimized ZnAg2Br structure.

The structure in POSCAR format:
```
ZnAg2Br
1.0
1.6943 0.9782 8.2474
-1.6943 0.9782 8.2474
0.0000 -1.9565 8.2474
Zn Ag Br
1 2 1
Cartesian
0.0000 0.0000 0.0000
0.0000 0.0000 6.2968
0.0000 0.0000 18.4454
0.0000 0.0000 12.3711
```

Computed properties:
Its energy above the most stable polymorph in this dataset is 0.098 eV per atom. The calculation puts the density of states at the Fermi level at 0.42 states/eV/cell. The calculation puts the total energy at -8.4 eV/f.u. Its crystal system is trigonal. The calculation puts the formation energy from raw total energies at 0.057 eV/atom. Its space group is R-3m, No. 166.


Record 3
VASP calculation (PBE-GGA) on a geometry-optimized Zn2AgBr structure.

The structure in POSCAR format:
```
Zn2AgBr
1.0
1.7070 -3.0552 0.0000
1.7070 3.0552 0.0000
0.0000 0.0000 8.3315
Zn Ag Br
2 1 1
Cartesian
0.0000 0.0000 2.0283
0.0000 0.0000 6.3032
1.7070 0.0000 0.0000
1.7070 0.0000 4.1658
```

Computed properties:
Its energy above the most stable polymorph in this dataset is 0.104 eV per atom. The calculation puts the density of states at the Fermi level at 0.96 states/eV/cell. The calculation puts the total energy at -6.9 eV/f.u. Its crystal system is orthorhombic. The calculation puts the formation energy from raw total energies at 0.046 eV/atom. Its space group is Cmmm, No. 65.


Record 4
VASP calculation (PBE-GGA) on a geometry-optimized ZnAg3Br structure.

The structure in POSCAR format:
```
ZnAg3Br
1.0
5.2829 0.0000 0.0000
0.0000 5.2829 0.0000
0.0000 0.0000 5.2829
Zn Ag Br
1 3 1
Cartesian
0.0000 0.0000 0.0000
0.0000 2.6415 2.6415
2.6415 0.0000 2.6415
2.6415 2.6415 0.0000
2.6415 2.6415 2.6415
```

Computed properties:
Its energy above the most stable polymorph in this dataset is 0.263 eV per atom. The calculation puts the density of states at the Fermi level at 1.35 states/eV/cell. The calculation puts the total energy at -8.1 eV/f.u. Its crystal system is cubic. The calculation puts the formation energy from raw total energies at 0.682 eV/atom. Its space group is Pm-3m, No. 221.